No. 1
VASP calculation (PBE) on a relaxed structure of Al4Co3.

Unit cell a=4.7853 b=4.7853 c=4.6717 alpha=90.00 beta=90.00 gamma=120.00
Space group P6/mmm (No. 191)
Inequivalent atoms, fractional coordinates:
Al (0.0000, 0.0000, 0.2469) (multiplicity 2)
Al (0.3333, 0.6667, 0.5000) (multiplicity 2)
Co (0.0000, 0.5000, 0.0000) (multiplicity 3)

Properties
* formation enthalpy at 0 K: -0.2085 eV/atom
* spin magnetization: 3.13 μB/f.u.
* density of states at the Fermi level: 0.946 states/eV/atom
* mass density: 5.10 g cm⁻³
* calculated total energy: -5.3925 eV/atom

***

No. 2
VASP calculation (PBE) on a relaxed structure of Al6Co.

Unit cell a=7.442 b=6.537 c=8.683 alpha=90.00 beta=90.00 gamma=90.00
Space group Cmcm (No. 63)
Inequivalent atoms, fractional coordinates:
Al (0.000, 0.149, 0.097) (multiplicity 8)
Al (0.180, 0.206, 0.750) (multiplicity 8)
Al (0.180, 0.500, 0.000) (multiplicity 8)
Co (0.000, 0.464, 0.250) (multiplicity 4)

Properties
* formation enthalpy at 0 K: -0.1988 eV/atom
* spin magnetization: 0.00 μB/f.u.
* density of states at the Fermi level: 0.493 states/eV/atom
* mass density: 3.47 g cm⁻³
* calculated total energy: -4.4218 eV/atom

***

No. 3
VASP calculation (PBE) on a relaxed structure of AlCo.

Unit cell a=2.755 b=12.717 c=4.128 alpha=90.00 beta=90.00 gamma=90.00
Space group Amm2 (No. 38)
Inequivalent atoms, fractional coordinates:
Al (0.000, 0.000, 0.000) (multiplicity 2)
Al (0.500, 0.175, 0.814) (multiplicity 4)
Co (0.000, 0.165, 0.317) (multiplicity 4)
Co (0.500, 0.000, 0.503) (multiplicity 2)

Properties
* formation enthalpy at 0 K: -0.3880 eV/atom
* spin magnetization: 0.28 μB/f.u.
* density of states at the Fermi level: 0.822 states/eV/atom
* mass density: 5.92 g cm⁻³
* calculated total energy: -5.8122 eV/atom

***

No. 4
VASP calculation (PBE) on a relaxed structure of Al2Co.

Unit cell a=10.870 b=10.870 c=10.870 alpha=90.00 beta=90.00 gamma=90.00
Space group Fd-3m (No. 227, origin choice 2)
Inequivalent atoms, fractional coordinates:
Al (0.000, 0.000, 0.000) (multiplicity 16)
Al (0.074, 0.375, 0.875) (multiplicity 48)
Co (0.031, 0.031, 0.219) (multiplicity 32)

Properties
* formation enthalpy at 0 K: -0.4700 eV/atom
* spin magnetization: 0.00 μB/f.u.
* density of states at the Fermi level: 0.352 states/eV/atom
* mass density: 4.67 g cm⁻³
* calculated total energy: -5.3337 eV/atom

***

> The highest spin magnetization belongs to which entry?

Al4Co3